VASP calculation (PBE) on crystalline Tl2GaAu2 at its relaxed geometry.

Geometry as extended XYZ:
```
10
Lattice="8.346 0.000 0.000 0.000 8.346 0.000 0.000 0.000 3.538" Properties=species:S:1:pos:R:3 pbc="T T T"
Tl 5.612 1.438 0.000
Tl 1.438 2.735 0.000
Tl 2.735 6.908 0.000
Tl 6.908 5.612 0.000
Au 5.208 7.312 1.769
Au 1.034 5.208 1.769
Au 3.139 1.034 1.769
Au 7.312 3.139 1.769
Ga 4.173 4.173 0.000
Ga 0.000 0.000 0.000
```

Summary:
The value obtained for the total magnetization is 0.0 μB/cell. For the theoretical density, the calculation gives 11.8 g cm⁻³. As for the density of states at the Fermi level: 0.501 states/eV/atom. As for the energy of formation from the pure elements: 3.3 kcal/mol of atoms. For the distance to the lowest polymorph of the same formula, the calculation gives 246.1 meV/atom.

***

VASP calculation (PBE) on crystalline CaB2Rh2 at its relaxed geometry.

Geometry as extended XYZ:
```
10
Lattice="-3.586 -3.561 4.545 5.192 0.352 4.372 -1.013 2.318 1.017" Properties=species:S:1:pos:R:3 pbc="T T T"
Ca 0.000 0.000 0.000
Ca 0.803 -1.605 4.458
Rh 0.236 -2.839 6.707
Rh 3.175 -0.981 5.399
Rh 1.370 -0.371 2.210
Rh -1.568 -2.229 3.518
B -1.102 -0.087 2.757
B 1.695 -0.803 7.176
B 2.309 0.897 3.911
B -1.715 -1.788 6.023
```

Summary:
The value obtained for the total magnetization is 0.0 μB/cell. For the theoretical density, the calculation gives 7.1 g cm⁻³. As for the density of states at the Fermi level: 0.208 states/eV/atom. As for the energy of formation from the pure elements: 1.9 kcal/mol of atoms.

***

VASP calculation (PBE) on crystalline K2Cd2In at its relaxed geometry.

Geometry as extended XYZ:
```
5
Lattice="-4.039 -1.074 2.873 2.942 -2.701 3.126 0.752 4.339 7.156" Properties=species:S:1:pos:R:3 pbc="T T T"
Cd -0.310 -0.745 3.763
Cd -0.035 1.308 9.393
K -1.918 0.688 6.515
K 1.573 -0.125 6.641
In 0.000 0.000 0.000
```

Summary:
The value obtained for the total magnetization is 0.0 μB/cell. For the theoretical density, the calculation gives 3.5 g cm⁻³. As for the density of states at the Fermi level: 0.824 states/eV/atom. As for the energy of formation from the pure elements: 4.9 kcal/mol of atoms. For the distance to the lowest polymorph of the same formula, the calculation gives 311.1 meV/atom.

***

VASP calculation (PBE) on crystalline Cs2PmHg3F12 at its relaxed geometry.

Geometry as extended XYZ:
```
18
Lattice="-4.328 -5.406 -5.039 1.192 -8.474 0.355 -5.974 -5.297 3.101" Properties=species:S:1:pos:R:3 pbc="T T T"
F -4.830 -14.539 -3.325
F -3.487 -9.679 2.100
F -6.971 -7.743 -1.305
F -5.818 -14.473 1.563
F -5.623 -9.498 -3.682
F -2.449 -9.748 -3.038
F -2.139 -11.434 -0.278
F 0.023 -6.547 0.093
F -9.133 -12.631 -1.676
F -6.661 -9.429 1.455
F -4.280 -4.639 1.742
F -3.292 -4.705 -3.146
Hg -2.987 -2.648 1.551
Hg 0.596 -4.237 0.178
Hg -2.164 -2.703 -2.520
Cs -6.155 -12.957 -1.069
Cs -2.955 -6.220 -0.513
Pm 0.000 0.000 0.000
```

Summary:
The value obtained for the total magnetization is 0.0 μB/cell. For the theoretical density, the calculation gives 4.9 g cm⁻³. As for the density of states at the Fermi level: 0.202 states/eV/atom. As for the energy: -3.918 eV per atom.

***

VASP calculation (PBE) on crystalline Zr4TeW at its relaxed geometry.

Geometry as extended XYZ:
```
6
Lattice="5.180 -0.279 2.335 3.201 4.687 0.389 0.962 2.374 5.079" Properties=species:S:1:pos:R:3 pbc="T T T"
W 0.000 0.000 0.000
Te 7.007 5.086 5.853
Zr 6.116 2.388 4.097
Zr 5.111 4.910 3.108
Zr 3.485 2.529 2.911
Zr 3.973 3.735 5.491
```

Summary:
The value obtained for the total magnetization is 0.0 μB/cell. For the theoretical density, the calculation gives 8.6 g cm⁻³. As for the density of states at the Fermi level: 0.936 states/eV/atom. As for the energy: -7.869 eV per atom.

***

VASP calculation (PBE) on crystalline ThBiN at its relaxed geometry.

Geometry as extended XYZ:
```
6
Lattice="-2.896 1.428 -2.402 -0.892 -1.193 3.739 1.915 10.037 3.660" Properties=species:S:1:pos:R:3 pbc="T T T"
N -1.400 0.521 1.998
N -0.473 9.752 2.999
Bi -1.081 6.567 1.837
Bi -0.792 3.705 3.159
Th -1.972 1.896 0.134
Th 0.099 8.376 4.863
```

Summary:
The value obtained for the total magnetization is 0.0 μB/cell. For the theoretical density, the calculation gives 9.9 g cm⁻³. As for the density of states at the Fermi level: 0.485 states/eV/atom. For the distance to the lowest polymorph of the same formula, the calculation gives 274.9 meV/atom.